Entry 1:
## Dy2PaNi9 (PBE)

Data for a relaxed structure of Dy2PaNi9.

Total energy (eV for the cell shown): -227.6
Calculated volume (Å³/cell): 515.4
Total moment (μB/f.u.): 0.00

Lattice parameters (Å, degrees): 4.9272 4.9272 24.5129 90.00 90.00 120.00
Closest atoms and distances in Å follow each position.
Space group R-3m (No. 166, hexagonal axes)
Unique sites:
Dy 0.0000 0.0000 0.1393 x6  12 Ni 2.83-3.09, 3 Dy 3.15
Pa 0.0000 0.0000 0.0000 x3  18 Ni 2.84-3.18
Ni 0.0000 0.0000 0.3334 x6  6 Ni 2.46-2.47
Ni 0.0000 0.0000 0.5000 x3  6 Ni 2.52
Ni 0.0009 0.5004 0.9179 x18  7 Ni 2.46-2.52

=====

Entry 2:
## Dy3PaNi8 (PBE)

Data for a relaxed structure of Dy3PaNi8.

Total energy (eV for the cell shown): -223.5
Calculated volume (Å³/cell): 550.5
Total moment (μB/f.u.): 0.00

Lattice parameters (Å, degrees): 5.0654 5.0654 24.7765 90.00 90.00 120.00
Closest atoms and distances in Å follow each position.
Space group R3m (No. 160, hexagonal axes)
Unique sites:
Dy 0.0000 0.0000 0.0000 x3  12 Ni 2.97-2.99, 4 Dy 3.07-3.09
Dy 0.0000 0.0000 0.1240 x3  12 Ni 2.94-2.98, 1 Dy 3.07, 3 Pa 3.11
Dy 0.0000 0.0000 0.6269 x3  12 Ni 2.96-3.00, 3 Dy 3.09, 1 Pa 3.15
Pa 0.0000 0.0000 0.5000 x3  12 Ni 2.93-2.97, 4 Dy 3.11-3.15
Ni 0.0000 0.0000 0.3129 x3  6 Ni 2.55
Ni 0.0000 0.0000 0.8133 x3  6 Ni 2.51-2.52
Ni 0.0021 0.5010 0.0640 x9  6 Ni 2.52-2.55
Ni 0.1676 0.3351 0.8952 x9  6 Ni 2.51-2.55

=====

Question: Which formula does entry 1 have?
Answer: Dy2PaNi9